No. 1
{"formula": "Tl2NO", "functional": "PBE", "state": "relaxed", "lattice": [[0.0000, 3.1343, 3.1343], [3.1343, 0.0000, 3.1343], [3.1343, 3.1343, 0.0000]], "species": ["Tl", "Tl", "O", "N"], "fractional_positions": [[0.2500, 0.2500, 0.2500], [0.7500, 0.7500, 0.7500], [0.5000, 0.5000, 0.5000], [0.0000, 0.0000, 0.0000]], "crystal_system": "cubic", "de_polymorph_ev_per_atom": 0.630}


No. 2
{"formula": "Pm3Ga2SnAu6", "functional": "PBE", "state": "relaxed", "lattice": [[-2.7286, 5.4439, -0.1245], [-2.3012, -4.4824, 3.4219], [4.9442, 2.6331, 6.7740]], "species": ["Pm", "Pm", "Pm", "Ga", "Ga", "Sn", "Au", "Au", "Au", "Au", "Au", "Au"], "fractional_positions": [[0.3333, 0.6667, 0.6287], [0.6667, 0.3333, 0.3713], [0.0000, 0.0000, 0.0000], [0.6667, 0.3333, 0.9887], [0.3333, 0.6667, 0.0113], [0.0000, 0.0000, 0.5000], [0.6440, 0.8220, 0.2654], [0.1780, 0.3560, 0.2654], [0.1780, 0.8220, 0.2654], [0.8220, 0.6440, 0.7346], [0.3560, 0.1780, 0.7346], [0.8220, 0.1780, 0.7346]], "crystal_system": "trigonal", "formation_energy_ev_per_atom": -0.484}


No. 3
{"formula": "SrLa2ScCo", "functional": "PBE", "state": "relaxed", "lattice": [[5.4887, 0.0000, 0.0000], [0.0000, 5.4887, 0.0000], [0.0000, 0.0000, 5.3620]], "species": ["Sc", "Sr", "Co", "La", "La"], "fractional_positions": [[0.0000, 0.0000, 0.5000], [0.5000, 0.5000, 0.5000], [0.0000, 0.0000, 0.0000], [0.0000, 0.5000, 0.0000], [0.5000, 0.0000, 0.0000]], "crystal_system": "tetragonal", "formation_energy_ev_per_atom": -0.005}


No. 4
{"formula": "Na2BSbI", "functional": "PBE", "state": "relaxed", "lattice": [[5.9160, 0.0000, 0.0000], [0.0000, 6.2708, 0.0000], [0.0000, 0.0000, 5.9160]], "species": ["I", "Sb", "B", "Na", "Na"], "fractional_positions": [[0.0000, 0.5000, 0.0000], [0.0000, 0.0000, 0.0000], [0.5000, 0.5000, 0.5000], [0.0000, 0.0000, 0.5000], [0.5000, 0.0000, 0.0000]], "energy_ev_per_atom": -2.07, "crystal_system": "tetragonal"}


No. 5
{"formula": "AcGe4Os", "functional": "PBE", "state": "relaxed", "lattice": [[4.1072, 0.0000, 0.0000], [0.0000, 7.8608, 0.0000], [0.0000, 0.0000, 7.6793]], "species": ["Ac", "Ac", "Ge", "Ge", "Ge", "Ge", "Ge", "Ge", "Ge", "Ge", "Os", "Os"], "fractional_positions": [[0.0000, 0.6680, 0.7500], [0.0000, 0.3320, 0.2500], [0.0000, 0.0000, 0.5000], [0.0000, 0.0000, 0.0000], [0.5000, 0.9964, 0.7500], [0.5000, 0.0036, 0.2500], [0.5000, 0.6562, 0.0772], [0.5000, 0.3438, 0.9228], [0.5000, 0.6562, 0.4228], [0.5000, 0.3438, 0.5772], [0.0000, 0.2385, 0.7500], [0.0000, 0.7615, 0.2500]], "crystal_system": "orthorhombic", "formation_energy_ev_per_atom": -0.217}


No. 6
{"formula": "SbTe2SeN", "functional": "PBE", "state": "relaxed", "lattice": [[5.3815, 0.0000, 0.0000], [0.0000, 5.3815, 0.0000], [0.0000, 0.0000, 5.4511]], "species": ["Sb", "Te", "Te", "Se", "N"], "fractional_positions": [[0.0000, 0.0000, 0.5000], [0.0000, 0.5000, 0.0000], [0.5000, 0.0000, 0.0000], [0.0000, 0.0000, 0.0000], [0.5000, 0.5000, 0.5000]], "crystal_system": "tetragonal", "de_polymorph_ev_per_atom": 1.053}


No. 7
{"formula": "CeMgIn6", "functional": "PBE", "state": "relaxed", "lattice": [[4.5732, 0.0000, 0.0000], [0.0000, 6.7076, -0.1096], [0.0000, -0.0243, 6.7084]], "species": ["Ce", "Mg", "In", "In", "In", "In", "In", "In"], "fractional_positions": [[0.5000, 0.5000, 0.5000], [0.5000, 0.0000, 0.0000], [0.0000, 0.7542, 0.2458], [0.0000, 0.2458, 0.7542], [0.0000, 0.7594, 0.7594], [0.0000, 0.2406, 0.2406], [0.5000, 0.5000, 0.0000], [0.5000, 0.0000, 0.5000]], "crystal_system": "orthorhombic", "formation_energy_ev_per_atom": -0.171}


No. 8
{"formula": "In2NiAgSe", "functional": "PBE", "state": "relaxed", "lattice": [[5.5927, 0.0000, 0.0000], [0.0000, 4.8322, 0.0000], [0.0000, 0.0000, 5.5927]], "species": ["Ni", "Se", "Ag", "In", "In"], "fractional_positions": [[0.5000, 0.5000, 0.5000], [0.0000, 0.0000, 0.0000], [0.0000, 0.5000, 0.0000], [0.0000, 0.0000, 0.5000], [0.5000, 0.0000, 0.0000]], "energy_ev_per_atom": -2.70, "crystal_system": "tetragonal"}


No. 9
{"formula": "Nd4HgPI2", "functional": "PBE", "state": "relaxed", "lattice": [[-0.3775, 2.6080, 3.3032], [-6.5338, -3.4818, 2.0024], [6.0167, -3.8946, 3.7625]], "species": ["Nd", "Nd", "Nd", "Nd", "Hg", "P", "I", "I"], "fractional_positions": [[0.5000, 0.2554, 0.2116], [0.5000, 0.7446, 0.7884], [0.0000, 0.2855, 0.8016], [0.0000, 0.7145, 0.1984], [0.0000, 0.0000, 0.0000], [0.5000, 0.5000, 0.0000], [0.5000, 0.0000, 0.5000], [0.0000, 0.5000, 0.5000]], "energy_ev_per_atom": -4.46, "crystal_system": "monoclinic"}


No. 10
{"formula": "Zn2TcHgMo", "functional": "PBE", "state": "relaxed", "lattice": [[4.8689, 0.0000, 0.0000], [0.0000, 4.7045, 0.0000], [0.0000, 0.0000, 4.8689]], "species": ["Zn", "Zn", "Mo", "Hg", "Tc"], "fractional_positions": [[0.0000, 0.0000, 0.5000], [0.5000, 0.0000, 0.0000], [0.0000, 0.5000, 0.0000], [0.5000, 0.5000, 0.5000], [0.0000, 0.0000, 0.0000]], "crystal_system": "tetragonal", "formation_energy_ev_per_atom": 0.966}


No. 11
{"formula": "Ac2TmCuO6", "functional": "PBE", "state": "relaxed", "lattice": [[5.8058, 0.0000, 0.0000], [0.0000, 5.8086, 0.0000], [0.0000, 0.0000, 8.2298]], "species": ["Ac", "Ac", "Ac", "Ac", "Tm", "Tm", "Cu", "Cu", "O", "O", "O", "O", "O", "O", "O", "O", "O", "O", "O", "O"], "fractional_positions": [[0.5000, 0.7505, 0.2499], [0.0000, 0.2495, 0.7499], [0.5000, 0.7505, 0.7501], [0.0000, 0.2495, 0.2501], [0.0000, 0.7497, 0.5000], [0.5000, 0.2503, 0.0000], [0.5000, 0.2498, 0.5000], [0.0000, 0.7502, 0.0000], [0.5000, 0.2493, 0.2595], [0.5000, 0.2493, 0.7405], [0.0000, 0.7507, 0.2405], [0.0000, 0.7507, 0.7595], [0.2597, 0.0097, 0.5000], [0.7403, 0.0097, 0.5000], [0.2598, 0.4900, 0.5000], [0.7402, 0.4900, 0.5000], [0.7598, 0.5100, 0.0000], [0.2402, 0.5100, 0.0000], [0.2403, 0.9903, 0.0000], [0.7597, 0.9903, 0.0000]], "energy_ev_per_atom": -7.24, "crystal_system": "orthorhombic"}


No. 12
{"formula": "KTlSn", "functional": "PBE", "state": "relaxed", "lattice": [[4.5848, -2.6471, 0.0000], [0.0000, 5.2941, 0.0000], [0.0000, 0.0000, 8.1498]], "species": ["K", "K", "Tl", "Tl", "Sn", "Sn"], "fractional_positions": [[0.6667, 0.3333, 0.0000], [0.6667, 0.3333, 0.5000], [0.3333, 0.6667, 0.2009], [0.3333, 0.6667, 0.7991], [0.0000, 0.0000, 0.3063], [0.0000, 0.0000, 0.6937]], "crystal_system": "hexagonal", "formation_energy_ev_per_atom": -0.130}


No. 13
{"formula": "LaDy3Er6Sc2", "functional": "PBE", "state": "relaxed", "lattice": [[6.0468, 0.0007, 0.0038], [-3.0213, 5.2379, 0.0038], [-1.0098, -1.7485, 11.4357]], "species": ["La", "Dy", "Dy", "Dy", "Er", "Er", "Er", "Er", "Er", "Er", "Sc", "Sc"], "fractional_positions": [[0.0000, 0.0000, 0.0000], [0.1674, 0.8326, 0.5000], [0.8326, 0.1674, 0.5000], [0.5000, 0.5000, 0.5000], [0.9164, 0.5800, 0.7518], [0.7468, 0.7468, 0.2484], [0.0836, 0.4200, 0.2482], [0.5800, 0.9164, 0.7518], [0.2532, 0.2532, 0.7516], [0.4200, 0.0836, 0.2482], [0.3334, 0.6666, 0.0000], [0.6666, 0.3334, 0.0000]], "crystal_system": "monoclinic", "formation_energy_ev_per_atom": 0.041}


No. 14
{"formula": "Rb2HoInSe4", "functional": "PBE", "state": "relaxed", "lattice": [[-5.0867, 6.1914, -3.7128], [-4.7550, -6.3694, -3.8488], [1.1327, -0.0643, 8.6963]], "species": ["Rb", "Rb", "Rb", "Rb", "Ho", "Ho", "In", "In", "Se", "Se", "Se", "Se", "Se", "Se", "Se", "Se"], "fractional_positions": [[0.5000, 0.0000, 0.0000], [0.5000, 0.0000, 0.5000], [0.0000, 0.0000, 0.5000], [0.5000, 0.5000, 0.0000], [0.0000, 0.5000, 0.0000], [0.0000, 0.5000, 0.5000], [0.5000, 0.5000, 0.5000], [0.0000, 0.0000, 0.0000], [0.2001, 0.7322, 0.9660], [0.7678, 0.2999, 0.5340], [0.2322, 0.7001, 0.4660], [0.7999, 0.2678, 0.0340], [0.7665, 0.7338, 0.9610], [0.7662, 0.7335, 0.5390], [0.2338, 0.2666, 0.4610], [0.2334, 0.2662, 0.0390]], "energy_ev_per_atom": -4.09, "crystal_system": "orthorhombic"}


No. 15
{"formula": "Ba3VCr", "functional": "PBE", "state": "relaxed", "lattice": [[-3.3181, -0.8375, 5.2400], [5.2782, 0.1161, 3.3609], [-0.5470, 6.2011, 0.6448]], "species": ["Cr", "Ba", "Ba", "Ba", "V"], "fractional_positions": [[0.0000, 0.0000, 0.0000], [0.0000, 0.5000, 0.0000], [0.0000, 0.0000, 0.5000], [0.5000, 0.0000, 0.0000], [0.5000, 0.5000, 0.5000]], "crystal_system": "cubic", "formation_energy_ev_per_atom": 1.096}


No. 16
{"formula": "TaHgPb", "functional": "PBE", "state": "relaxed", "lattice": [[-7.8495, -1.9337, 0.8002], [-6.1679, -2.2986, 4.7610], [6.5383, 4.1870, -2.3901]], "species": ["Hg", "Pb", "Ta"], "fractional_positions": [[0.0278, 0.0278, 0.0000], [0.3138, 0.3138, 0.0000], [0.6583, 0.6583, 0.0000]], "crystal_system": "tetragonal", "de_polymorph_ev_per_atom": 0.004, "formation_energy_ev_per_atom": 0.485}


No. 17
{"formula": "CaBeRh2", "functional": "PBE", "state": "relaxed", "lattice": [[-3.0835, -6.5909, 1.9644], [-0.2882, -6.7435, 3.3539], [-2.6427, -5.2282, 4.7422]], "species": ["Be", "Ca", "Rh", "Rh"], "fractional_positions": [[0.2500, 0.2500, 0.2500], [0.7500, 0.7500, 0.7500], [0.9788, 0.9788, 0.9788], [0.5212, 0.5212, 0.5212]], "crystal_system": "trigonal", "formation_energy_ev_per_atom": -0.180}


No. 18
{"formula": "AlFeTe3", "functional": "PBE", "state": "relaxed", "lattice": [[5.2556, 0.0000, 0.0000], [0.0000, 5.2556, 0.0000], [0.0000, 0.0000, 5.2556]], "species": ["Te", "Te", "Te", "Fe", "Al"], "fractional_positions": [[0.0000, 0.5000, 0.0000], [0.0000, 0.0000, 0.5000], [0.5000, 0.0000, 0.0000], [0.5000, 0.5000, 0.5000], [0.0000, 0.0000, 0.0000]], "crystal_system": "cubic", "de_polymorph_ev_per_atom": 0.564}


No. 19
{"formula": "ScTe2HN", "functional": "PBE", "state": "relaxed", "lattice": [[5.3589, 0.0000, 0.0000], [0.0000, 5.3589, 0.0000], [0.0000, 0.0000, 2.9439]], "species": ["Sc", "H", "Te", "Te", "N"], "fractional_positions": [[0.5000, 0.5000, 0.5000], [0.0000, 0.0000, 0.0000], [0.0000, 0.5000, 0.0000], [0.5000, 0.0000, 0.0000], [0.0000, 0.0000, 0.5000]], "crystal_system": "tetragonal", "de_polymorph_ev_per_atom": 0.000}


No. 20
{"formula": "Tl2HgBr", "functional": "PBE", "state": "relaxed", "lattice": [[-9.3836, 1.3169, -0.2980], [-9.0090, -2.6411, -1.3179], [-8.9783, -1.5280, 2.6325]], "species": ["Tl", "Tl", "Hg", "Br"], "fractional_positions": [[0.9988, 0.9988, 0.9988], [0.5012, 0.5012, 0.5012], [0.7500, 0.7500, 0.7500], [0.2500, 0.2500, 0.2500]], "crystal_system": "trigonal", "de_polymorph_ev_per_atom": 0.019}


Number 1: V 61.6 Å³/cell. Number 2: V 282.4 Å³/cell. Number 3: V 161.5 Å³/cell. Number 4: V 219.5 Å³/cell. Number 5: V 247.9 Å³/cell. Number 6: V 157.9 Å³/cell. Number 7: V 205.8 Å³/cell. Number 8: V 151.1 Å³/cell. Number 9: V 250.8 Å³/cell. Number 10: V 111.5 Å³/cell. Number 11: V 277.5 Å³/cell. Number 12: V 197.8 Å³/cell. Number 13: V 362.3 Å³/cell. Number 14: V 484.1 Å³/cell. Number 15: V 245.1 Å³/cell. Number 16: V 73.0 Å³/cell. Number 17: V 61.9 Å³/cell. Number 18: V 145.2 Å³/cell. Number 19: V 84.5 Å³/cell. Number 20: V 133.9 Å³/cell.